Entry A
DFT (SCAN) results for K2SrIr at its PBEsol-relaxed geometry.

Unit cell a=3.720 b=3.720 c=11.241 alpha=90.00 beta=90.00 gamma=90.00
Space group P4mm (No. 99)
Asymmetric unit:
K 0.000 0.000 0.000 (multiplicity 1)
K 0.500 0.500 0.363 (multiplicity 1)
Sr 0.000 0.000 0.693 (multiplicity 1)
Ir 0.500 0.500 0.819 (multiplicity 1)

## Properties
The magnetic moment is 0.027 μB per cell.

***

Entry B
DFT (SCAN) results for K2SrIr at its PBEsol-relaxed geometry.

Unit cell a=3.5244 b=3.5244 c=38.6074 alpha=90.00 beta=90.00 gamma=120.00
Space group R-3m (No. 166, hexagonal axes)
Asymmetric unit:
K 0.0000 0.0000 0.2275 (multiplicity 6)
Sr 0.0000 0.0000 0.0000 (multiplicity 3)
Ir 0.0000 0.0000 0.5000 (multiplicity 3)

## Properties
The magnetic moment is 1.280 μB per cell.

***

Most stable of them? entry A.

***

Entry A
DFT (SCAN) results for K2TaIr at its PBEsol-relaxed geometry.

Unit cell a=3.694 b=3.891 c=5.923 alpha=90.00 beta=90.00 gamma=90.00
Space group Pmmm (No. 47)
Asymmetric unit:
K 0.000 0.000 0.000 (multiplicity 1)
K 0.500 0.500 0.000 (multiplicity 1)
Ta 0.000 0.500 0.500 (multiplicity 1)
Ir 0.500 0.000 0.500 (multiplicity 1)

## Properties
The magnetic moment is 0.004 μB per cell.

***

Entry B
DFT (SCAN) results for K2TaIr at its PBEsol-relaxed geometry.

Unit cell a=2.917 b=4.839 c=11.972 alpha=90.00 beta=90.00 gamma=90.00
Space group Cmmm (No. 65)
Asymmetric unit:
K 0.000 0.000 0.222 (multiplicity 4)
Ta 0.000 0.500 0.500 (multiplicity 2)
Ir 0.000 0.500 0.000 (multiplicity 2)

## Properties
The magnetic moment is 0.002 μB per cell.

***

Most stable of them? entry A.

***

Entry A
DFT (SCAN) results for K2TlIr at its PBEsol-relaxed geometry.

Unit cell a=3.752 b=3.752 c=9.866 alpha=90.00 beta=90.00 gamma=90.00
Space group P4mm (No. 99)
Asymmetric unit:
K 0.000 0.000 0.000 (multiplicity 1)
K 0.500 0.500 0.410 (multiplicity 1)
Tl 0.000 0.000 0.683 (multiplicity 1)
Ir 0.500 0.500 0.724 (multiplicity 1)

## Properties
The magnetic moment is 0.037 μB per cell.

***

Entry B
DFT (SCAN) results for K2TlIr at its PBEsol-relaxed geometry.

Unit cell a=19.860 b=3.225 c=4.358 alpha=90.00 beta=102.61 gamma=90.00
Space group C2/m (No. 12)
Asymmetric unit:
K 0.145 0.000 0.144 (multiplicity 4)
Tl 0.000 0.000 0.500 (multiplicity 2)
Ir 0.000 0.500 0.000 (multiplicity 2)

## Properties
The magnetic moment is 0.002 μB per cell.

***

Most stable of them? entry B.

***

Entry A
DFT (SCAN) results for K2TlIr at its PBEsol-relaxed geometry.

Unit cell a=4.218 b=4.218 c=10.733 alpha=90.00 beta=90.00 gamma=90.00
Space group I4/mmm (No. 139)
Asymmetric unit:
K 0.000 0.500 0.250 (multiplicity 4)
Tl 0.000 0.000 0.000 (multiplicity 2)
Ir 0.000 0.000 0.500 (multiplicity 2)

## Properties
The magnetic moment is 0.000 μB per cell.

***

Entry B
DFT (SCAN) results for K2TlIr at its PBEsol-relaxed geometry.

Unit cell a=3.566 b=5.253 c=5.532 alpha=90.00 beta=98.12 gamma=90.00
Space group P2/m (No. 10)
Asymmetric unit:
K 0.097 0.000 0.268 (multiplicity 2)
Tl 0.500 0.500 0.000 (multiplicity 1)
Ir 0.500 0.500 0.500 (multiplicity 1)

## Properties
The magnetic moment is 0.000 μB per cell.

***

Most stable of them? entry A.

***

Entry A
DFT (SCAN) results for KZn2Ir at its PBEsol-relaxed geometry.

Unit cell a=2.870 b=4.125 c=7.367 alpha=90.00 beta=90.08 gamma=90.00
Space group Pm (No. 6)
Asymmetric unit:
K 0.000 0.000 0.000 (multiplicity 1)
Zn 0.504 0.000 0.606 (multiplicity 1)
Zn 0.504 0.500 0.346 (multiplicity 1)
Ir 0.004 0.500 0.625 (multiplicity 1)

## Properties
The magnetic moment is 0.000 μB per cell.

***

Entry B
DFT (SCAN) results for KZn2Ir at its PBEsol-relaxed geometry.

Unit cell a=2.625 b=4.995 c=5.557 alpha=90.00 beta=90.00 gamma=90.00
Space group Pmmm (No. 47)
Asymmetric unit:
K 0.000 0.000 0.000 (multiplicity 1)
Zn 0.000 0.500 0.500 (multiplicity 1)
Zn 0.500 0.500 0.000 (multiplicity 1)
Ir 0.500 0.000 0.500 (multiplicity 1)

## Properties
The magnetic moment is 0.000 μB per cell.

***

Most stable of them? entry A.

***

Entry A
DFT (SCAN) results for KZn2Ir at its PBEsol-relaxed geometry.

Unit cell a=2.873 b=3.651 c=7.325 alpha=90.00 beta=90.00 gamma=90.00
Space group Pmmm (No. 47)
Asymmetric unit:
K 0.000 0.000 0.000 (multiplicity 1)
Zn 0.500 0.500 0.333 (multiplicity 2)
Ir 0.000 0.000 0.500 (multiplicity 1)

## Properties
The magnetic moment is 0.000 μB per cell.

***

Entry B
DFT (SCAN) results for KZn2Ir at its PBEsol-relaxed geometry.

Unit cell a=3.332 b=3.332 c=7.581 alpha=90.00 beta=90.00 gamma=90.00
Space group P4mm (No. 99)
Asymmetric unit:
K 0.000 0.000 0.000 (multiplicity 1)
Zn 0.000 0.000 0.572 (multiplicity 1)
Zn 0.500 0.500 0.346 (multiplicity 1)
Ir 0.500 0.500 0.672 (multiplicity 1)

## Properties
The magnetic moment is 0.000 μB per cell.

***

Most stable of them? entry A.

***

Entry A
DFT (SCAN) results for La5Ir3 at its PBEsol-relaxed geometry.

Unit cell a=11.288 b=11.288 c=6.153 alpha=90.00 beta=90.00 gamma=90.00
Space group I4/mcm (No. 140)
Asymmetric unit:
La 0.000 0.500 0.250 (multiplicity 4)
La 0.087 0.211 0.000 (multiplicity 16)
Ir 0.000 0.000 0.250 (multiplicity 4)
Ir 0.156 0.344 0.500 (multiplicity 8)

## Properties
The magnetic moment is 0.000 μB per cell.

***

Entry B
DFT (SCAN) results for La5Ir3 at its PBEsol-relaxed geometry.

Unit cell a=8.3527 b=8.3527 c=6.7842 alpha=90.00 beta=90.00 gamma=120.00
Space group P6_3/mcm (No. 193)
Asymmetric unit:
La 0.0000 0.2542 0.2500 (multiplicity 6)
La 0.3333 0.6667 0.0000 (multiplicity 4)
Ir 0.0000 0.3874 0.7500 (multiplicity 6)

## Properties
The magnetic moment is 0.000 μB per cell.

***

Most stable of them? entry B.

***

Entry A
DFT (SCAN) results for La3Ir2 at its PBEsol-relaxed geometry.

Unit cell a=10.710 b=15.246 c=6.106 alpha=90.00 beta=90.00 gamma=90.00
Space group Fdd2 (No. 43)
Asymmetric unit:
La 0.000 0.000 0.000 (multiplicity 8)
La 0.080 0.291 0.737 (multiplicity 16)
Ir 0.057 0.375 0.167 (multiplicity 16)

## Properties
The magnetic moment is 0.000 μB per cell.

***

Entry B
DFT (SCAN) results for La3Ir2 at its PBEsol-relaxed geometry.

Unit cell a=4.8725 b=4.8725 c=6.2970 alpha=90.00 beta=90.00 gamma=120.00
Space group P-3m1 (No. 164)
Asymmetric unit:
La 0.0000 0.0000 0.0000 (multiplicity 1)
La 0.3333 0.6667 0.3381 (multiplicity 2)
Ir 0.3333 0.6667 0.8261 (multiplicity 2)

## Properties
The magnetic moment is 0.000 μB per cell.

***

Entry C
DFT (SCAN) results for La3Ir2 at its PBEsol-relaxed geometry.

Unit cell a=8.8023 b=8.8023 c=17.0555 alpha=90.00 beta=90.00 gamma=120.00
Space group R-3 (No. 148, hexagonal axes)
Asymmetric unit:
La 0.0000 0.0000 0.0000 (multiplicity 3)
La 0.0000 0.0000 0.1984 (multiplicity 6)
La 0.0109 0.7485 0.5930 (multiplicity 18)
Ir 0.0174 0.4018 0.5710 (multiplicity 18)

## Properties
The magnetic moment is 1.538 μB per cell.

***

Entry D
DFT (SCAN) results for La3Ir2 at its PBEsol-relaxed geometry.

Unit cell a=4.1703 b=4.1703 c=29.4833 alpha=90.00 beta=90.00 gamma=120.00
Space group R-3m (No. 166, hexagonal axes)
Asymmetric unit:
La 0.0000 0.0000 0.0000 (multiplicity 3)
La 0.0000 0.0000 0.2275 (multiplicity 6)
Ir 0.0000 0.0000 0.3918 (multiplicity 6)

## Properties
The magnetic moment is 0.000 μB per cell.

***

Most stable of them? entry C.

***

Entry A
DFT (SCAN) results for LiLaIr at its PBEsol-relaxed geometry.

Unit cell a=6.165 b=6.165 c=6.165 alpha=90.00 beta=90.00 gamma=90.00
Space group F-43m (No. 216)
Asymmetric unit:
Li 0.000 0.000 0.000 (multiplicity 4)
La 0.250 0.250 0.250 (multiplicity 4)
Ir 0.250 0.250 0.750 (multiplicity 4)

## Properties
The magnetic moment is 0.000 μB per cell.

***

Entry B
DFT (SCAN) results for LiLaIr at its PBEsol-relaxed geometry.

Unit cell a=3.649 b=3.649 c=8.971 alpha=90.00 beta=90.00 gamma=90.00
Space group I4mm (No. 107)
Asymmetric unit:
Li 0.000 0.000 0.000 (multiplicity 2)
La 0.000 0.000 0.700 (multiplicity 2)
Ir 0.000 0.000 0.355 (multiplicity 2)

## Properties
The magnetic moment is 0.000 μB per cell.

***

Most stable of them? entry B.

***

Entry A
DFT (SCAN) results for LaMoIr2 at its PBEsol-relaxed geometry.

Unit cell a=9.603 b=2.928 c=5.183 alpha=90.00 beta=97.48 gamma=90.00
Space group Cm (No. 8)
Asymmetric unit:
La 0.000 0.000 0.000 (multiplicity 2)
Mo 0.212 0.000 0.642 (multiplicity 2)
Ir 0.259 0.500 0.244 (multiplicity 2)
Ir 0.486 0.000 0.507 (multiplicity 2)

## Properties
The magnetic moment is 0.000 μB per cell.

***

Entry B
DFT (SCAN) results for LaMoIr2 at its PBEsol-relaxed geometry.

Unit cell a=3.240 b=3.240 c=7.122 alpha=90.00 beta=90.00 gamma=90.00
Space group P4mm (No. 99)
Asymmetric unit:
La 0.000 0.000 0.000 (multiplicity 1)
Mo 0.500 0.500 0.343 (multiplicity 1)
Ir 0.000 0.000 0.498 (multiplicity 1)
Ir 0.500 0.500 0.725 (multiplicity 1)

## Properties
The magnetic moment is 0.000 μB per cell.

***

Entry C
DFT (SCAN) results for LaMoIr2 at its PBEsol-relaxed geometry.

Unit cell a=2.950 b=2.950 c=8.009 alpha=90.00 beta=90.00 gamma=90.00
Space group P4/mmm (No. 123)
Asymmetric unit:
La 0.000 0.000 0.000 (multiplicity 1)
Mo 0.000 0.000 0.500 (multiplicity 1)
Ir 0.500 0.500 0.291 (multiplicity 2)

## Properties
The magnetic moment is 0.000 μB per cell.

***

Most stable of them? entry C.

***

Entry A
DFT (SCAN) results for La2MoIr at its PBEsol-relaxed geometry.

Unit cell a=3.130 b=3.130 c=9.377 alpha=90.00 beta=90.00 gamma=90.00
Space group P4mm (No. 99)
Asymmetric unit:
La 0.000 0.000 0.000 (multiplicity 1)
La 0.500 0.500 0.368 (multiplicity 1)
Mo 0.000 0.000 0.612 (multiplicity 1)
Ir 0.500 0.500 0.757 (multiplicity 1)

## Properties
The magnetic moment is 0.000 μB per cell.

***

Entry B
DFT (SCAN) results for La2MoIr at its PBEsol-relaxed geometry.

Unit cell a=3.651 b=4.650 c=5.163 alpha=90.00 beta=90.00 gamma=90.00
Space group Pmmm (No. 47)
Asymmetric unit:
La 0.000 0.000 0.000 (multiplicity 1)
La 0.000 0.500 0.500 (multiplicity 1)
Mo 0.500 0.000 0.500 (multiplicity 1)
Ir 0.500 0.500 0.000 (multiplicity 1)

## Properties
The magnetic moment is 0.000 μB per cell.

***

Most stable of them? entry A.

***

Entry A
DFT (SCAN) results for La2MoIr at its PBEsol-relaxed geometry.

Unit cell a=7.064 b=7.064 c=7.064 alpha=90.00 beta=90.00 gamma=90.00
Space group Fm-3m (No. 225)
Asymmetric unit:
La 0.250 0.250 0.250 (multiplicity 8)
Mo 0.000 0.000 0.000 (multiplicity 4)
Ir 0.000 0.000 0.500 (multiplicity 4)

## Properties
The magnetic moment is 0.012 μB per cell.

***

Entry B
DFT (SCAN) results for La2MoIr at its PBEsol-relaxed geometry.

Unit cell a=9.950 b=3.015 c=5.483 alpha=90.00 beta=95.15 gamma=90.00
Space group C2/m (No. 12)
Asymmetric unit:
La 0.247 0.000 0.259 (multiplicity 4)
Mo 0.000 0.000 0.000 (multiplicity 2)
Ir 0.000 0.500 0.500 (multiplicity 2)

## Properties
The magnetic moment is 0.000 μB per cell.

***

Entry C
DFT (SCAN) results for La2MoIr at its PBEsol-relaxed geometry.

Unit cell a=4.1724 b=4.1724 c=22.6812 alpha=90.00 beta=90.00 gamma=120.00
Space group R3m (No. 160, hexagonal axes)
Asymmetric unit:
La 0.0000 0.0000 0.0000 (multiplicity 3)
La 0.0000 0.0000 0.1832 (multiplicity 3)
Mo 0.0000 0.0000 0.7463 (multiplicity 3)
Ir 0.0000 0.0000 0.4380 (multiplicity 3)

## Properties
The magnetic moment is 0.006 μB per cell.

***

Most stable of them? entry C.